PuScBe4 | PBE | optimized geometry

a b c (Å): 4.8441 4.8441 4.8441
angles (deg): 60.00 60.00 60.00
Last column: nearest neighbours and their distance in Å.
Element x y z (fractional)
Sc  0.0000  0.0000  0.0000  12 Be 2.84, 4 Pu 2.97
Be  0.6267  0.6267  0.1199  6 Be 2.39-2.46
Be  0.6267  0.1199  0.6267  6 Be 2.39-2.46
Be  0.6267  0.6267  0.6267  6 Be 2.39-2.46
Be  0.1199  0.6267  0.6267  6 Be 2.39-2.46
Pu  0.2500  0.2500  0.2500  12 Be 2.84, 4 Sc 2.97

Properties
The magnetic moment is 0.823 μB per atom. The formation energy is 61 meV per atom.